# RbBeCuRu2 (PBE-GGA, relaxed)
data_RbBeCuRu2
_cell_length_a 4.795
_cell_length_b 4.795
_cell_length_c 4.262
_cell_angle_alpha 90.00
_cell_angle_beta 90.00
_cell_angle_gamma 90.00
_symmetry_space_group_name_H-M 'P 4/m m m'
_symmetry_Int_Tables_number 123
_symmetry_space_group_name_Hall '-P 4 2'
loop_
_atom_site_label
_atom_site_fract_x
_atom_site_fract_y
_atom_site_fract_z
Rb1 0.000 0.000 0.000
Be1 0.500 0.500 0.000
Cu1 0.500 0.500 0.500
Ru1 0.000 0.500 0.500
# formation energy: 1.487 eV/atom

=====

# ZnCd2As (PBE-GGA, relaxed)
data_ZnCd2As
_cell_length_a 4.289
_cell_length_b 4.289
_cell_length_c 8.887
_cell_angle_alpha 90.00
_cell_angle_beta 90.00
_cell_angle_gamma 90.00
_symmetry_space_group_name_H-M 'I -4 m 2'
_symmetry_Int_Tables_number 119
_symmetry_space_group_name_Hall 'I -4 -2'
loop_
_atom_site_label
_atom_site_fract_x
_atom_site_fract_y
_atom_site_fract_z
Zn1 0.000 0.000 0.000
Cd1 0.000 0.000 0.500
Cd2 0.000 0.500 0.250
As1 0.000 0.500 0.750
# polymorph energy (0 for the lowest one): 52 meV/atom
# formation energy: 0.136 eV/atom

=====

# InPbSeI (PBE-GGA, relaxed)
data_InPbSeI
_cell_length_a 4.4672
_cell_length_b 4.4672
_cell_length_c 24.8037
_cell_angle_alpha 90.00
_cell_angle_beta 90.00
_cell_angle_gamma 120.00
_symmetry_space_group_name_H-M 'R 3 m'
_symmetry_Int_Tables_number 160
_symmetry_space_group_name_Hall 'R 3 -2"'
loop_
_atom_site_label
_atom_site_fract_x
_atom_site_fract_y
_atom_site_fract_z
In1 0.0000 0.0000 0.0000
Pb1 0.0000 0.0000 0.8056
Se1 0.0000 0.0000 0.4077
I1 0.0000 0.0000 0.2274
# energy relative to the elements, uncorrected: -0.478 eV/atom

=====

# Y7Tl2Zn2 (PBE-GGA, relaxed)
data_Y7Tl2Zn2
_cell_length_a 7.801
_cell_length_b 11.213
_cell_length_c 7.507
_cell_angle_alpha 90.00
_cell_angle_beta 90.00
_cell_angle_gamma 90.00
_symmetry_space_group_name_H-M 'C m m m'
_symmetry_Int_Tables_number 65
_symmetry_space_group_name_Hall '-C 2 2'
loop_
_atom_site_label
_atom_site_fract_x
_atom_site_fract_y
_atom_site_fract_z
Y1 0.000 0.000 0.000
Y2 0.000 0.500 0.236
Y3 0.250 0.250 0.273
Tl1 0.187 0.000 0.500
Zn1 0.000 0.287 0.000
# formation energy: -0.038 eV/atom

=====

# TaTlTe4 (PBE-GGA, relaxed)
data_TaTlTe4
_cell_length_a 8.908
_cell_length_b 14.518
_cell_length_c 6.602
_cell_angle_alpha 90.00
_cell_angle_beta 116.54
_cell_angle_gamma 90.00
_symmetry_space_group_name_H-M 'C 1 2/c 1'
_symmetry_Int_Tables_number 15
loop_
_symmetry_equiv_pos_as_xyz
'x,y,z'
'-x,-y,-z'
'-x,y,-z+1/2'
'x,-y,z+1/2'
'x+1/2,y+1/2,z'
'-x+1/2,-y+1/2,-z'
'-x+1/2,y+1/2,-z+1/2'
'x+1/2,-y+1/2,z+1/2'
loop_
_atom_site_label
_atom_site_fract_x
_atom_site_fract_y
_atom_site_fract_z
Ta1 0.000 0.000 0.250
Tl1 0.000 0.367 0.250
Te1 0.094 0.154 0.556
Te2 0.233 0.426 0.841
# polymorph energy (0 for the lowest one): 0 meV/atom
# energy relative to the elements, uncorrected: -0.211 eV/atom

=====

# LiCrBr4 (PBE-GGA, relaxed)
data_LiCrBr4
_cell_length_a 7.512
_cell_length_b 16.734
_cell_length_c 6.547
_cell_angle_alpha 90.00
_cell_angle_beta 122.13
_cell_angle_gamma 90.00
_symmetry_space_group_name_H-M 'C 1 2/c 1'
_symmetry_Int_Tables_number 15
loop_
_symmetry_equiv_pos_as_xyz
'x,y,z'
'-x,-y,-z'
'-x,y,-z+1/2'
'x,-y,z+1/2'
'x+1/2,y+1/2,z'
'-x+1/2,-y+1/2,-z'
'-x+1/2,y+1/2,-z+1/2'
'x+1/2,-y+1/2,z+1/2'
loop_
_atom_site_label
_atom_site_fract_x
_atom_site_fract_y
_atom_site_fract_z
Li1 0.000 0.076 0.250
Cr1 0.000 0.439 0.750
Br1 0.224 0.451 0.211
Br2 0.232 0.336 0.752
# polymorph energy (0 for the lowest one): 42 meV/atom
# energy relative to the elements, uncorrected: -0.963 eV/atom

=====

# NaSnAu2 (PBE-GGA, relaxed)
data_NaSnAu2
_cell_length_a 7.727
_cell_length_b 7.413
_cell_length_c 6.584
_cell_angle_alpha 90.00
_cell_angle_beta 90.00
_cell_angle_gamma 90.00
_symmetry_space_group_name_H-M 'P n m a'
_symmetry_Int_Tables_number 62
loop_
_symmetry_equiv_pos_as_xyz
'x,y,z'
'-x,-y,-z'
'-x+1/2,-y,z+1/2'
'x+1/2,y,-z+1/2'
'x+1/2,-y+1/2,-z+1/2'
'-x+1/2,y+1/2,z+1/2'
'-x,y+1/2,-z'
'x,-y+1/2,z'
loop_
_atom_site_label
_atom_site_fract_x
_atom_site_fract_y
_atom_site_fract_z
Na1 0.015 0.250 0.161
Sn1 0.127 0.750 0.345
Au1 0.191 0.052 0.561
# formation energy: -0.276 eV/atom

=====

# Hf2MgH (PBE-GGA, relaxed)
data_Hf2MgH
_cell_length_a 6.480
_cell_length_b 6.480
_cell_length_c 6.649
_cell_angle_alpha 90.00
_cell_angle_beta 90.00
_cell_angle_gamma 90.00
_symmetry_space_group_name_H-M 'I -4 2 d'
_symmetry_Int_Tables_number 122
_symmetry_space_group_name_Hall 'I -4 2bw'
loop_
_atom_site_label
_atom_site_fract_x
_atom_site_fract_y
_atom_site_fract_z
Hf1 0.141 0.250 0.125
Mg1 0.000 0.000 0.500
H1 0.000 0.000 0.000
# polymorph energy (0 for the lowest one): 216 meV/atom

=====

Total magnetization for every record listed, in sequence, given in μB per atom: 0.6432 0.0000 0.0000 0.0000 0.0000 0.5000 0.0000 0.0000.